#P
First-principles (GGA-PBE) data for crystalline HoCuB at its relaxed geometry, as listed in OQMD.

The density is 8.95 g cm⁻³. The value obtained for the volume is 44.4 Å³/f.u.

The space group is Pnma (No. 62) and the conventional cell measures 6.356, 3.602 and 7.754 Å, with angles of 90.00, 90.00 and 90.00 degrees. Symmetry generates all atoms from Ho at (0.022, 0.250, 0.186), Cu at (0.132, 0.250, 0.544) and B at (0.211, 0.750, 0.405).



#Q
First-principles (GGA-PBE) data for crystalline HoCuB at its relaxed geometry, as listed in OQMD.

The density is 8.96 g cm⁻³. The value obtained for the volume is 44.4 Å³/f.u.

The space group is Pnma (No. 62) and the conventional cell measures 6.765, 3.899 and 6.727 Å, with angles of 90.00, 90.00 and 90.00 degrees. Symmetry generates all atoms from Ho at (0.008, 0.250, 0.216), Cu at (0.203, 0.250, 0.581) and B at (0.208, 0.750, 0.418).



#R
First-principles (GGA-PBE) data for crystalline HoCuB at its relaxed geometry, as listed in OQMD.

The density is 7.96 g cm⁻³. The value obtained for the volume is 49.9 Å³/f.u.

The space group is F-43m (No. 216) and the conventional cell measures 5.846, 5.846 and 5.846 Å, with angles of 90.00, 90.00 and 90.00 degrees. Symmetry generates all atoms from Ho at (0.000, 0.000, 0.000), Cu at (0.000, 0.000, 0.500) and B at (0.250, 0.250, 0.750).



Least stable structure: #R



#P
First-principles (GGA-PBE) data for crystalline CuB4Ir at its relaxed geometry, as listed in OQMD.

The density is 9.49 g cm⁻³. The value obtained for the volume is 52.3 Å³/f.u.

The space group is Immm (No. 71) and the conventional cell measures 3.044, 5.209 and 6.596 Å, with angles of 90.00, 90.00 and 90.00 degrees. Symmetry generates all atoms from Cu at (0.000, 0.000, 0.000), B at (0.000, 0.340, 0.260) and Ir at (0.000, 0.000, 0.500).



#Q
First-principles (GGA-PBE) data for crystalline CuB4Ir at its relaxed geometry, as listed in OQMD.

The density is 9.20 g cm⁻³. The value obtained for the volume is 53.9 Å³/f.u.

The space group is P6/mmm (No. 191) and the conventional cell measures 3.0009, 3.0009 and 6.9164 Å, with angles of 90.00, 90.00 and 120.00 degrees. Symmetry generates all atoms from Cu at (0.0000, 0.0000, 0.0000), B at (0.3333, 0.6667, 0.2495) and Ir at (0.0000, 0.0000, 0.5000).



Least stable structure: #Q



#P
First-principles (GGA-PBE) data for crystalline NbCuBIr at its relaxed geometry, as listed in OQMD.

The density is 11.92 g cm⁻³. The value obtained for the volume is 50.1 Å³/f.u.

The space group is F-43m (No. 216) and the conventional cell measures 5.851, 5.851 and 5.851 Å, with angles of 90.00, 90.00 and 90.00 degrees. Symmetry generates all atoms from Nb at (0.000, 0.000, 0.000), Cu at (0.250, 0.250, 0.750), B at (0.250, 0.250, 0.250) and Ir at (0.000, 0.000, 0.500).



#Q
First-principles (GGA-PBE) data for crystalline NbCuBIr at its relaxed geometry, as listed in OQMD.

The density is 11.18 g cm⁻³. The value obtained for the volume is 53.4 Å³/f.u.

The space group is F-43m (No. 216) and the conventional cell measures 5.977, 5.977 and 5.977 Å, with angles of 90.00, 90.00 and 90.00 degrees. Symmetry generates all atoms from Nb at (0.000, 0.000, 0.000), Cu at (0.000, 0.000, 0.500), B at (0.250, 0.250, 0.750) and Ir at (0.250, 0.250, 0.250).



Least stable structure: #Q



#P
First-principles (GGA-PBE) data for crystalline TaCuBIr at its relaxed geometry, as listed in OQMD.

The density is 14.87 g cm⁻³. The value obtained for the volume is 50.0 Å³/f.u.

The space group is F-43m (No. 216) and the conventional cell measures 5.847, 5.847 and 5.847 Å, with angles of 90.00, 90.00 and 90.00 degrees. Symmetry generates all atoms from Ta at (0.000, 0.000, 0.000), Cu at (0.250, 0.250, 0.750), B at (0.250, 0.250, 0.250) and Ir at (0.000, 0.000, 0.500).



#Q
First-principles (GGA-PBE) data for crystalline TaCuBIr at its relaxed geometry, as listed in OQMD.

The density is 13.94 g cm⁻³. The value obtained for the volume is 53.3 Å³/f.u.

The space group is F-43m (No. 216) and the conventional cell measures 5.975, 5.975 and 5.975 Å, with angles of 90.00, 90.00 and 90.00 degrees. Symmetry generates all atoms from Ta at (0.000, 0.000, 0.000), Cu at (0.000, 0.000, 0.500), B at (0.250, 0.250, 0.750) and Ir at (0.250, 0.250, 0.250).



#R
First-principles (GGA-PBE) data for crystalline TaCuBIr at its relaxed geometry, as listed in OQMD.

The density is 14.01 g cm⁻³. The value obtained for the volume is 53.0 Å³/f.u.

The space group is F-43m (No. 216) and the conventional cell measures 5.964, 5.964 and 5.964 Å, with angles of 90.00, 90.00 and 90.00 degrees. Symmetry generates all atoms from Ta at (0.000, 0.000, 0.000), Cu at (0.250, 0.250, 0.750), B at (0.000, 0.000, 0.500) and Ir at (0.250, 0.250, 0.250).



Least stable structure: #Q



#P
First-principles (GGA-PBE) data for crystalline ZnCuBIr at its relaxed geometry, as listed in OQMD.

The density is 11.16 g cm⁻³. The value obtained for the volume is 49.4 Å³/f.u.

The space group is F-43m (No. 216) and the conventional cell measures 5.824, 5.824 and 5.824 Å, with angles of 90.00, 90.00 and 90.00 degrees. Symmetry generates all atoms from Zn at (0.000, 0.000, 0.000), Cu at (0.000, 0.000, 0.500), B at (0.250, 0.250, 0.250) and Ir at (0.250, 0.250, 0.750).



#Q
First-principles (GGA-PBE) data for crystalline ZnCuBIr at its relaxed geometry, as listed in OQMD.

The density is 11.78 g cm⁻³. The value obtained for the volume is 46.8 Å³/f.u.

The space group is F-43m (No. 216) and the conventional cell measures 5.720, 5.720 and 5.720 Å, with angles of 90.00, 90.00 and 90.00 degrees. Symmetry generates all atoms from Zn at (0.000, 0.000, 0.000), Cu at (0.250, 0.250, 0.750), B at (0.000, 0.000, 0.500) and Ir at (0.250, 0.250, 0.250).



Least stable structure: #P



#P
First-principles (GGA-PBE) data for crystalline KCuB4 at its relaxed geometry, as listed in OQMD.

The density is 3.69 g cm⁻³. The value obtained for the volume is 65.6 Å³/f.u.

The space group is P6/mmm (No. 191) and the conventional cell measures 3.0625, 3.0625 and 8.0723 Å, with angles of 90.00, 90.00 and 120.00 degrees. Symmetry generates all atoms from K at (0.0000, 0.0000, 0.0000), Cu at (0.0000, 0.0000, 0.5000) and B at (0.3333, 0.6667, 0.3076).



#Q
First-principles (GGA-PBE) data for crystalline KCuB4 at its relaxed geometry, as listed in OQMD.

The density is 3.67 g cm⁻³. The value obtained for the volume is 66.0 Å³/f.u.

The space group is Immm (No. 71) and the conventional cell measures 2.506, 5.785 and 9.110 Å, with angles of 90.00, 90.00 and 90.00 degrees. Symmetry generates all atoms from K at (0.000, 0.000, 0.000), Cu at (0.000, 0.000, 0.500) and B at (0.000, 0.354, 0.230).



Least stable structure: #Q



#P
First-principles (GGA-PBE) data for crystalline LiLuCuB at its relaxed geometry, as listed in OQMD.

The density is 8.08 g cm⁻³. The value obtained for the volume is 52.6 Å³/f.u.

The space group is F-43m (No. 216) and the conventional cell measures 5.949, 5.949 and 5.949 Å, with angles of 90.00, 90.00 and 90.00 degrees. Symmetry generates all atoms from Li at (0.000, 0.000, 0.000), Lu at (0.250, 0.250, 0.750), Cu at (0.000, 0.000, 0.500) and B at (0.250, 0.250, 0.250).



#Q
First-principles (GGA-PBE) data for crystalline LiLuCuB at its relaxed geometry, as listed in OQMD.

The density is 8.12 g cm⁻³. The value obtained for the volume is 52.4 Å³/f.u.

The space group is F-43m (No. 216) and the conventional cell measures 5.941, 5.941 and 5.941 Å, with angles of 90.00, 90.00 and 90.00 degrees. Symmetry generates all atoms from Li at (0.000, 0.000, 0.000), Lu at (0.250, 0.250, 0.250), Cu at (0.250, 0.250, 0.750) and B at (0.000, 0.000, 0.500).



Least stable structure: #P



#P
First-principles (GGA-PBE) data for crystalline LiMgCuB at its relaxed geometry, as listed in OQMD.

The density is 3.86 g cm⁻³. The value obtained for the volume is 45.4 Å³/f.u.

The space group is F-43m (No. 216) and the conventional cell measures 5.664, 5.664 and 5.664 Å, with angles of 90.00, 90.00 and 90.00 degrees. Symmetry generates all atoms from Li at (0.000, 0.000, 0.000), Mg at (0.250, 0.250, 0.750), Cu at (0.000, 0.000, 0.500) and B at (0.250, 0.250, 0.250).



#Q
First-principles (GGA-PBE) data for crystalline LiMgCuB at its relaxed geometry, as listed in OQMD.

The density is 3.91 g cm⁻³. The value obtained for the volume is 44.9 Å³/f.u.

The space group is F-43m (No. 216) and the conventional cell measures 5.641, 5.641 and 5.641 Å, with angles of 90.00, 90.00 and 90.00 degrees. Symmetry generates all atoms from Li at (0.000, 0.000, 0.000), Mg at (0.250, 0.250, 0.250), Cu at (0.250, 0.250, 0.750) and B at (0.000, 0.000, 0.500).



Least stable structure: #P



#P
First-principles (GGA-PBE) data for crystalline LiCuReB at its relaxed geometry, as listed in OQMD.

The density is 10.75 g cm⁻³. The value obtained for the volume is 41.3 Å³/f.u.

The space group is F-43m (No. 216) and the conventional cell measures 5.487, 5.487 and 5.487 Å, with angles of 90.00, 90.00 and 90.00 degrees. Symmetry generates all atoms from Li at (0.000, 0.000, 0.000), Cu at (0.250, 0.250, 0.750), Re at (0.250, 0.250, 0.250) and B at (0.000, 0.000, 0.500).



#Q
First-principles (GGA-PBE) data for crystalline LiCuReB at its relaxed geometry, as listed in OQMD.

The density is 9.95 g cm⁻³. The value obtained for the volume is 44.6 Å³/f.u.

The space group is F-43m (No. 216) and the conventional cell measures 5.631, 5.631 and 5.631 Å, with angles of 90.00, 90.00 and 90.00 degrees. Symmetry generates all atoms from Li at (0.000, 0.000, 0.000), Cu at (0.000, 0.000, 0.500), Re at (0.250, 0.250, 0.750) and B at (0.250, 0.250, 0.250).



Least stable structure: #Q



#P
First-principles (GGA-PBE) data for crystalline LiTaCuB at its relaxed geometry, as listed in OQMD.

The density is 9.34 g cm⁻³. The value obtained for the volume is 46.6 Å³/f.u.

The space group is F-43m (No. 216) and the conventional cell measures 5.713, 5.713 and 5.713 Å, with angles of 90.00, 90.00 and 90.00 degrees. Symmetry generates all atoms from Li at (0.000, 0.000, 0.000), Ta at (0.250, 0.250, 0.750), Cu at (0.000, 0.000, 0.500) and B at (0.250, 0.250, 0.250).



#Q
First-principles (GGA-PBE) data for crystalline LiTaCuB at its relaxed geometry, as listed in OQMD.

The density is 9.78 g cm⁻³. The value obtained for the volume is 44.5 Å³/f.u.

The space group is F-43m (No. 216) and the conventional cell measures 5.626, 5.626 and 5.626 Å, with angles of 90.00, 90.00 and 90.00 degrees. Symmetry generates all atoms from Li at (0.000, 0.000, 0.000), Ta at (0.250, 0.250, 0.250), Cu at (0.250, 0.250, 0.750) and B at (0.000, 0.000, 0.500).



Least stable structure: #P



#P
First-principles (GGA-PBE) data for crystalline LiZrCuB at its relaxed geometry, as listed in OQMD.

The density is 5.72 g cm⁻³. The value obtained for the volume is 50.1 Å³/f.u.

The space group is F-43m (No. 216) and the conventional cell measures 5.852, 5.852 and 5.852 Å, with angles of 90.00, 90.00 and 90.00 degrees. Symmetry generates all atoms from Li at (0.000, 0.000, 0.000), Zr at (0.250, 0.250, 0.750), Cu at (0.000, 0.000, 0.500) and B at (0.250, 0.250, 0.250).



#Q
First-principles (GGA-PBE) data for crystalline LiZrCuB at its relaxed geometry, as listed in OQMD.

The density is 5.83 g cm⁻³. The value obtained for the volume is 49.1 Å³/f.u.

The space group is F-43m (No. 216) and the conventional cell measures 5.813, 5.813 and 5.813 Å, with angles of 90.00, 90.00 and 90.00 degrees. Symmetry generates all atoms from Li at (0.000, 0.000, 0.000), Zr at (0.250, 0.250, 0.250), Cu at (0.250, 0.250, 0.750) and B at (0.000, 0.000, 0.500).



Least stable structure: #P



#P
First-principles (GGA-PBE) data for crystalline LuNbCuB at its relaxed geometry, as listed in OQMD.

The density is 8.77 g cm⁻³. The value obtained for the volume is 64.8 Å³/f.u.

The space group is F-43m (No. 216) and the conventional cell measures 6.377, 6.377 and 6.377 Å, with angles of 90.00, 90.00 and 90.00 degrees. Symmetry generates all atoms from Lu at (0.000, 0.000, 0.000), Nb at (0.250, 0.250, 0.750), Cu at (0.000, 0.000, 0.500) and B at (0.250, 0.250, 0.250).



#Q
First-principles (GGA-PBE) data for crystalline LuNbCuB at its relaxed geometry, as listed in OQMD.

The density is 9.42 g cm⁻³. The value obtained for the volume is 60.4 Å³/f.u.

The space group is F-43m (No. 216) and the conventional cell measures 6.227, 6.227 and 6.227 Å, with angles of 90.00, 90.00 and 90.00 degrees. Symmetry generates all atoms from Lu at (0.000, 0.000, 0.000), Nb at (0.250, 0.250, 0.250), Cu at (0.250, 0.250, 0.750) and B at (0.000, 0.000, 0.500).



Least stable structure: #P